DFT (PBE) results for a relaxed structure of LaZn3As3.

a b c (Å): 12.6491 4.1263 11.5789
angles (deg): 90.00 90.00 90.00
With the nearest neighbours (Å) after each atom.
Fractional positions:
As (0.5829, 0.2500, 0.8842)  3 Zn 2.49-2.51
Zn (0.7234, 0.7500, 0.3462)  4 As 2.49-2.76
As (0.8528, 0.7500, 0.7597)  4 Zn 2.49-2.56
La (0.6632, 0.7500, 0.0579)  7 As 3.05-3.23
Zn (0.7766, 0.2500, 0.8462)  4 As 2.49-2.76
As (0.3528, 0.7500, 0.7403)  4 Zn 2.49-2.56
Zn (0.0517, 0.7500, 0.7347)  4 As 2.51-2.56
La (0.1632, 0.7500, 0.4421)  7 As 3.05-3.23
As (0.9171, 0.7500, 0.3842)  3 Zn 2.49-2.51
As (0.3595, 0.2500, 0.4335)  5 Zn 2.56-2.76
As (0.1472, 0.2500, 0.2403)  4 Zn 2.49-2.56
As (0.0829, 0.2500, 0.6158)  3 Zn 2.49-2.51
Zn (0.4332, 0.7500, 0.5376)  4 As 2.56-2.64, 2 Zn 2.81
Zn (0.0668, 0.2500, 0.0376)  4 As 2.56-2.64, 2 Zn 2.81
Zn (0.2234, 0.7500, 0.1538)  4 As 2.49-2.76
La (0.3368, 0.2500, 0.9421)  7 As 3.05-3.23
As (0.6405, 0.7500, 0.5665)  5 Zn 2.56-2.76
As (0.6472, 0.2500, 0.2597)  4 Zn 2.49-2.56
Zn (0.5517, 0.7500, 0.7653)  4 As 2.51-2.56
As (0.8595, 0.2500, 0.0665)  5 Zn 2.56-2.76
Zn (0.9332, 0.7500, 0.9624)  4 As 2.56-2.64, 2 Zn 2.81
Zn (0.5668, 0.2500, 0.4624)  4 As 2.56-2.64, 2 Zn 2.81
Zn (0.2766, 0.2500, 0.6538)  4 As 2.49-2.76
As (0.4171, 0.7500, 0.1158)  3 Zn 2.49-2.51
Zn (0.9483, 0.2500, 0.2653)  4 As 2.51-2.56
Zn (0.4483, 0.2500, 0.2347)  4 As 2.51-2.56
As (0.1405, 0.7500, 0.9335)  5 Zn 2.56-2.76
La (0.8368, 0.2500, 0.5579)  7 As 3.05-3.23

Results
Size of the total moment, Bohr magnetons per cell: 0.00
Symmetry: No. 62
Uncorrected energy, eV/atom: -3.828